An optimized crystal structure of ZrBe2Si. Source: Alexandria via LeMat-Bulk, functional PBE-GGA. Values from VASP.

```
&SYSTEM
  ibrav = 0, nat = 4, ntyp = 3
/
ATOMIC_SPECIES
Be 9.01 Be.upf
Zr 91.22 Zr.upf
Si 28.09 Si.upf
ATOMIC_POSITIONS crystal
Be 0.0000 0.0000 0.0000
Be 0.5000 0.5000 0.0000
Zr 0.0000 0.5000 0.5000
Si 0.5000 0.0000 0.5000
CELL_PARAMETERS angstrom
3.7755 0.0000 0.0000
0.0000 3.7755 0.0000
0.0000 0.0000 3.7152
```

**Space group**: P4/mmm
**Uncorrected energy**: -0.4159 Ry per atom
**V**: 52.96 Å³/cell
**N(E_F)**: 0.6 states/eV/cell
**ΔE_f (raw)**: -117 kJ/mol of formula units
**Size of the total moment**: 0.0 μB/cell
**Mass density**: 4.31 g/cm³

An optimized crystal structure of ZrBe2Si. Source: Alexandria via LeMat-Bulk, functional PBE-GGA. Values from VASP.

```
&SYSTEM
  ibrav = 0, nat = 4, ntyp = 3
/
ATOMIC_SPECIES
Zr 91.22 Zr.upf
Si 28.09 Si.upf
Be 9.01 Be.upf
ATOMIC_POSITIONS crystal
Zr 0.5000 0.5000 0.0000
Si 0.0000 0.5000 0.5000
Be 0.0000 0.0000 0.0000
Be 0.5000 0.0000 0.5000
CELL_PARAMETERS angstrom
-3.0988 -0.3750 -3.6959
-1.3870 -2.2131 4.4214
-1.7611 1.7536 1.0343
```

**Space group**: C2/m
**Uncorrected energy**: -0.3806 Ry per atom
**V**: 56.90 Å³/cell
**N(E_F)**: 1.6 states/eV/cell
**ΔE_f (raw)**: 69 kJ/mol of formula units
**Size of the total moment**: 0.0 μB/cell
**Mass density**: 4.01 g/cm³

An optimized crystal structure of ZrBe2Si. Source: Alexandria via LeMat-Bulk, functional PBE-GGA. Values from VASP.

```
&SYSTEM
  ibrav = 0, nat = 4, ntyp = 3
/
ATOMIC_SPECIES
Zr 91.22 Zr.upf
Si 28.09 Si.upf
Be 9.01 Be.upf
ATOMIC_POSITIONS crystal
Zr 0.7500 0.7500 0.7500
Si 0.2500 0.2500 0.2500
Be 0.9883 0.9883 0.9883
Be 0.5117 0.5117 0.5117
CELL_PARAMETERS angstrom
-5.3930 -6.2584 1.6900
-5.6042 -6.2007 -1.1191
-3.5284 -7.6581 0.1080
```

**Space group**: R-3m
**Uncorrected energy**: -0.3611 Ry per atom
**V**: 56.89 Å³/cell
**N(E_F)**: 2.3 states/eV/cell
**ΔE_f (raw)**: 171 kJ/mol of formula units
**Size of the total moment**: 0.0 μB/cell
**Mass density**: 4.01 g/cm³

An optimized crystal structure of ZrBe3Si. Source: Alexandria via LeMat-Bulk, functional PBE-GGA. Values from VASP.

```
&SYSTEM
  ibrav = 0, nat = 5, ntyp = 3
/
ATOMIC_SPECIES
Be 9.01 Be.upf
Si 28.09 Si.upf
Zr 91.22 Zr.upf
ATOMIC_POSITIONS crystal
Be 0.0000 0.5000 0.0000
Be 0.5000 0.0000 0.0000
Be 0.0000 0.0000 0.5000
Si 0.0000 0.0000 0.0000
Zr 0.5000 0.5000 0.5000
CELL_PARAMETERS angstrom
4.1077 0.0000 0.0000
0.0000 4.1077 0.0000
0.0000 0.0000 4.1077
```

**Space group**: Pm-3m
**Uncorrected energy**: -0.3296 Ry per atom
**V**: 69.31 Å³/cell
**N(E_F)**: 2.6 states/eV/cell
**ΔE_f (raw)**: 263 kJ/mol of formula units
**Size of the total moment**: 0.0 μB/cell
**Mass density**: 3.51 g/cm³

An optimized crystal structure of Zr3BeSi2. Source: Alexandria via LeMat-Bulk, functional PBE-GGA. Values from VASP.

```
&SYSTEM
  ibrav = 0, nat = 24, ntyp = 3
/
ATOMIC_SPECIES
Be 9.01 Be.upf
Si 28.09 Si.upf
Zr 91.22 Zr.upf
ATOMIC_POSITIONS crystal
Be 0.7500 0.8736 0.8699
Be 0.2500 0.3736 0.6301
Be 0.2500 0.1264 0.1301
Be 0.7500 0.6264 0.3699
Si 0.7500 0.3139 0.5298
Si 0.2500 0.0049 0.3049
Si 0.2500 0.4951 0.8049
Si 0.7500 0.9951 0.6951
Si 0.2500 0.6861 0.4702
Si 0.7500 0.1861 0.0298
Si 0.2500 0.8139 0.9702
Si 0.7500 0.5049 0.1951
Zr 0.7500 0.8782 0.4501
Zr 0.2500 0.4375 0.3822
Zr 0.2500 0.7092 0.2099
Zr 0.2500 0.7908 0.7099
Zr 0.7500 0.2908 0.7901
Zr 0.7500 0.9375 0.1178
Zr 0.7500 0.6218 0.9501
Zr 0.7500 0.5625 0.6178
Zr 0.2500 0.0625 0.8822
Zr 0.7500 0.2092 0.2901
Zr 0.2500 0.1218 0.5499
Zr 0.2500 0.3782 0.0499
CELL_PARAMETERS angstrom
3.7143 0.0000 0.0000
0.0000 10.4714 0.0000
0.0000 0.0000 10.6990
```

**Space group**: Pnma
**Uncorrected energy**: -0.5497 Ry per atom
**V**: 416.13 Å³/cell
**N(E_F)**: 14.2 states/eV/cell
**ΔE_f (raw)**: -450 kJ/mol of formula units
**Size of the total moment**: 0.0 μB/cell
**Mass density**: 5.41 g/cm³

An optimized crystal structure of ZrBeSi2. Source: Alexandria via LeMat-Bulk, functional PBE-GGA. Values from VASP.

```
&SYSTEM
  ibrav = 0, nat = 4, ntyp = 3
/
ATOMIC_SPECIES
Si 28.09 Si.upf
Be 9.01 Be.upf
Zr 91.22 Zr.upf
ATOMIC_POSITIONS crystal
Si 0.0000 0.0000 0.5482
Si 0.0000 0.0000 0.9518
Be 0.5000 0.5000 0.7500
Zr 0.5000 0.5000 0.2500
CELL_PARAMETERS angstrom
3.2302 0.0000 0.0000
0.0000 3.2302 0.0000
0.0000 0.0000 5.7297
```

**Space group**: P4/mmm
**Uncorrected energy**: -0.4346 Ry per atom
**V**: 59.78 Å³/cell
**N(E_F)**: 1.6 states/eV/cell
**ΔE_f (raw)**: -51 kJ/mol of formula units
**Size of the total moment**: 0.0 μB/cell
**Mass density**: 4.34 g/cm³

An optimized crystal structure of Zr3Be3Si2. Source: Alexandria via LeMat-Bulk, functional PBE-GGA. Values from VASP.

```
&SYSTEM
  ibrav = 0, nat = 16, ntyp = 3
/
ATOMIC_SPECIES
Si 28.09 Si.upf
Zr 91.22 Zr.upf
Be 9.01 Be.upf
ATOMIC_POSITIONS crystal
Si 0.8481 0.6961 0.6161
Si 0.8481 0.6961 0.8839
Si 0.1519 0.3039 0.3839
Si 0.1519 0.3039 0.1161
Zr 0.8618 0.7235 0.0924
Zr 0.5660 0.1320 0.2500
Zr 0.4340 0.8680 0.7500
Zr 0.1382 0.2765 0.9076
Zr 0.8618 0.7235 0.4076
Zr 0.1382 0.2765 0.5924
Be 0.4287 0.8574 0.9463
Be 0.5713 0.1426 0.0537
Be 0.7097 0.4194 0.7500
Be 0.2903 0.5806 0.2500
Be 0.5713 0.1426 0.4463
Be 0.4287 0.8574 0.5537
CELL_PARAMETERS angstrom
-2.9771 -0.6137 -2.0862
4.3544 -1.1253 -2.6254
-0.5589 -12.8301 4.5720
```

**Space group**: Cmcm
**Uncorrected energy**: -0.4800 Ry per atom
**V**: 244.78 Å³/cell
**N(E_F)**: 6.3 states/eV/cell
**ΔE_f (raw)**: -441 kJ/mol of formula units
**Size of the total moment**: 0.0 μB/cell
**Mass density**: 4.84 g/cm³

An optimized crystal structure of Zr3Be4Si2. Source: Alexandria via LeMat-Bulk, functional PBE-GGA. Values from VASP.

```
&SYSTEM
  ibrav = 0, nat = 9, ntyp = 3
/
ATOMIC_SPECIES
Si 28.09 Si.upf
Be 9.01 Be.upf
Zr 91.22 Zr.upf
ATOMIC_POSITIONS crystal
Si 0.6121 0.2242 0.2767
Si 0.3879 0.7758 0.7233
Be 0.0512 0.1023 0.3911
Be 0.2723 0.5445 0.9470
Be 0.7277 0.4555 0.0530
Be 0.9488 0.8977 0.6089
Zr 0.3336 0.6672 0.3326
Zr 0.0000 0.0000 0.0000
Zr 0.6664 0.3328 0.6674
CELL_PARAMETERS angstrom
-0.8498 -2.2103 2.8659
-3.3101 -0.6628 -3.9040
5.5042 -4.5394 -1.8689
```

**Space group**: C2/m
**Uncorrected energy**: -0.4629 Ry per atom
**V**: 128.70 Å³/cell
**N(E_F)**: 3.5 states/eV/cell
**ΔE_f (raw)**: -510 kJ/mol of formula units
**Size of the total moment**: 0.0 μB/cell
**Mass density**: 4.72 g/cm³

An optimized crystal structure of ZrBe2Si. Source: Alexandria via LeMat-Bulk, functional PBE-GGA. Values from VASP.

```
&SYSTEM
  ibrav = 0, nat = 4, ntyp = 3
/
ATOMIC_SPECIES
Zr 91.22 Zr.upf
Be 9.01 Be.upf
Si 28.09 Si.upf
ATOMIC_POSITIONS crystal
Zr 0.5000 0.5000 0.7500
Be 0.0000 0.0000 0.4407
Be 0.0000 0.0000 0.0593
Si 0.5000 0.5000 0.2500
CELL_PARAMETERS angstrom
3.0392 0.0344 0.0000
-0.2651 3.0278 0.0000
0.0000 0.0000 5.8635
```

**Space group**: Cmmm
**Uncorrected energy**: -0.3927 Ry per atom
**V**: 54.01 Å³/cell
**N(E_F)**: 2.4 states/eV/cell
**ΔE_f (raw)**: 5 kJ/mol of formula units
**Size of the total moment**: 0.0 μB/cell
**Mass density**: 4.22 g/cm³

An optimized crystal structure of ZrBeSi2. Source: Alexandria via LeMat-Bulk, functional PBE-GGA. Values from VASP.

```
&SYSTEM
  ibrav = 0, nat = 4, ntyp = 3
/
ATOMIC_SPECIES
Be 9.01 Be.upf
Zr 91.22 Zr.upf
Si 28.09 Si.upf
ATOMIC_POSITIONS crystal
Be 0.5000 0.5000 0.7500
Zr 0.5000 0.5000 0.2500
Si 0.0000 0.0000 0.5325
Si 0.0000 0.0000 0.9675
CELL_PARAMETERS angstrom
2.7810 0.0000 0.0000
0.0000 2.7810 0.0000
0.0000 0.0000 7.6809
```

**Space group**: P4/mmm
**Uncorrected energy**: -0.4140 Ry per atom
**V**: 59.41 Å³/cell
**N(E_F)**: 1.5 states/eV/cell
**ΔE_f (raw)**: 57 kJ/mol of formula units
**Size of the total moment**: 0.0 μB/cell
**Mass density**: 4.37 g/cm³

An optimized crystal structure of ZrBeSi2. Source: Alexandria via LeMat-Bulk, functional PBE-GGA. Values from VASP.

```
&SYSTEM
  ibrav = 0, nat = 4, ntyp = 3
/
ATOMIC_SPECIES
Be 9.01 Be.upf
Si 28.09 Si.upf
Zr 91.22 Zr.upf
ATOMIC_POSITIONS crystal
Be 0.0000 0.5000 0.5000
Si 0.0000 0.0000 0.0000
Si 0.5000 0.5000 0.0000
Zr 0.5000 0.0000 0.5000
CELL_PARAMETERS angstrom
3.7963 0.0000 0.0000
0.0000 4.0201 0.0000
0.0000 0.0000 3.8258
```

**Space group**: Pmmm
**Uncorrected energy**: -0.4404 Ry per atom
**V**: 58.39 Å³/cell
**N(E_F)**: 1.7 states/eV/cell
**ΔE_f (raw)**: -82 kJ/mol of formula units
**Size of the total moment**: 0.0 μB/cell
**Mass density**: 4.45 g/cm³

An optimized crystal structure of Zr2Be16Si. Source: Alexandria via LeMat-Bulk, functional PBE-GGA. Values from VASP.

```
&SYSTEM
  ibrav = 0, nat = 19, ntyp = 3
/
ATOMIC_SPECIES
Be 9.01 Be.upf
Zr 91.22 Zr.upf
Si 28.09 Si.upf
ATOMIC_POSITIONS crystal
Be 0.2938 0.0012 0.7068
Be 0.1005 0.1005 0.1005
Be 0.0012 0.7068 0.2938
Be 0.3421 0.8388 0.3421
Be 0.7068 0.0012 0.2938
Be 0.8388 0.3421 0.3421
Be 0.6544 0.6544 0.1647
Be 0.2938 0.7068 0.0012
Be 0.1647 0.6544 0.6544
Be 0.0028 0.0028 0.4931
Be 0.6544 0.1647 0.6544
Be 0.4931 0.0028 0.0028
Be 0.3421 0.3421 0.8388
Be 0.0012 0.2938 0.7068
Be 0.0028 0.4931 0.0028
Be 0.7068 0.2938 0.0012
Zr 0.6597 0.6597 0.6597
Zr 0.3388 0.3388 0.3388
Si 0.9023 0.9023 0.9023
CELL_PARAMETERS angstrom
-1.4572 -0.7052 -5.4889
1.2922 -5.5622 -0.3752
-5.2743 -2.0239 0.9135
```

**Space group**: R3m
**Uncorrected energy**: -0.3345 Ry per atom
**V**: 183.33 Å³/cell
**N(E_F)**: 3.4 states/eV/cell
**ΔE_f (raw)**: -418 kJ/mol of formula units
**Size of the total moment**: 0.0 μB/cell
**Mass density**: 3.21 g/cm³